[1]
This record from the Alexandria database describes crystalline Ba3PuNb2O9 at its relaxed geometry. The functional is PBE.

Summary:
Crystal system: trigonal
E_form (uncorrected), eV/f.u.: -42.3
Space-group type: No. 164
Total magnetization, μB per formula unit: 5.8

a = 6.0146 Å, b = 6.0146 Å, c = 7.4044 Å
α = 90.00°, β = 90.00°, γ = 120.00°
Each line ends with the local moment (μB).
Sites, in units of the cell vectors:
Ba (0.3333, 0.6667, 0.6733)  0.02
Ba (0.0000, 0.0000, 0.0000)  0.01
Ba (0.6667, 0.3333, 0.3267)  0.02
Pu (0.0000, 0.0000, 0.5000)  4.62
Nb (0.3333, 0.6667, 0.1607)  0.50
Nb (0.6667, 0.3333, 0.8393)  0.50
O (0.8255, 0.1745, 0.6809)  -0.04
O (0.8255, 0.6510, 0.6809)  -0.04
O (0.3490, 0.1745, 0.6809)  -0.04
O (0.6510, 0.8255, 0.3191)  -0.04
O (0.1745, 0.3490, 0.3191)  -0.04
O (0.1745, 0.8255, 0.3191)  -0.04
O (0.5000, 0.0000, 0.0000)  -0.01
O (0.0000, 0.5000, 0.0000)  -0.01
O (0.5000, 0.5000, 0.0000)  -0.01

=====

[2]
This record from the Alexandria database describes crystalline BaPuNbO6 at its relaxed geometry. The functional is PBE.

Summary:
Crystal system: trigonal
E_form (uncorrected), eV/f.u.: -25.1
Space-group type: No. 163
Total magnetization, μB per formula unit: 3.0

a = 5.6374 Å, b = 5.6374 Å, c = 11.3192 Å
α = 90.00°, β = 90.00°, γ = 120.00°
Each line ends with the local moment (μB).
Sites, in units of the cell vectors:
Ba (0.0000, 0.0000, 0.0000)  0.00
Ba (0.0000, 0.0000, 0.5000)  0.00
Pu (0.6667, 0.3333, 0.2500)  3.32
Pu (0.3333, 0.6667, 0.7500)  3.32
Nb (0.3333, 0.6667, 0.2500)  0.06
Nb (0.6667, 0.3333, 0.7500)  0.06
O (0.6105, 0.6247, 0.1513)  -0.06
O (0.0142, 0.3895, 0.1513)  -0.06
O (0.3895, 0.0142, 0.6513)  -0.06
O (0.9858, 0.6105, 0.8487)  -0.06
O (0.3753, 0.3895, 0.3487)  -0.06
O (0.0142, 0.6247, 0.3487)  -0.06
O (0.6247, 0.0142, 0.8487)  -0.06
O (0.6105, 0.9858, 0.3487)  -0.06
O (0.9858, 0.3753, 0.6513)  -0.06
O (0.3753, 0.9858, 0.1513)  -0.06
O (0.6247, 0.6105, 0.6513)  -0.06
O (0.3895, 0.3753, 0.8487)  -0.06

=====

[3]
This record from the Alexandria database describes crystalline Ba2PuNbO6 at its relaxed geometry. The functional is PBE.

Summary:
Crystal system: tetragonal
E_form (uncorrected), eV/f.u.: -28.4
Space-group type: No. 123
Total magnetization, μB per formula unit: 4.5

a = 4.2888 Å, b = 4.2888 Å, c = 8.6571 Å
α = 90.00°, β = 90.00°, γ = 90.00°
Each line ends with the local moment (μB).
Sites, in units of the cell vectors:
Ba (0.0000, 0.0000, 0.7352)  0.02
Ba (0.0000, 0.0000, 0.2648)  0.02
Pu (0.5000, 0.5000, 0.0000)  4.32
Nb (0.5000, 0.5000, 0.5000)  0.23
O (0.5000, 0.0000, 0.0000)  -0.10
O (0.5000, 0.0000, 0.5000)  0.00
O (0.0000, 0.5000, 0.0000)  -0.10
O (0.0000, 0.5000, 0.5000)  0.00
O (0.5000, 0.5000, 0.7313)  -0.02
O (0.5000, 0.5000, 0.2687)  -0.02

=====

[4]
This record from the Alexandria database describes crystalline RbBa2Nb2O7 at its relaxed geometry. The functional is PBE.

Summary:
Crystal system: tetragonal
E_form (uncorrected), eV/f.u.: -31.2
Space-group type: No. 139
Total magnetization, μB per formula unit: 0.0

a = 4.1413 Å, b = 4.1413 Å, c = 11.2512 Å
α = 79.39°, β = 79.39°, γ = 90.01°
Sites, in units of the cell vectors:
Rb (0.0000, 0.0000, 0.0000)
Ba (0.8159, 0.8159, 0.3678)
Ba (0.1841, 0.1841, 0.6322)
Nb (0.5943, 0.5943, 0.8117)
Nb (0.4057, 0.4057, 0.1883)
O (0.5000, 0.5000, 0.0000)
O (0.3103, 0.3103, 0.3787)
O (0.6897, 0.6897, 0.6213)
O (0.9023, 0.4023, 0.1950)
O (0.4023, 0.9023, 0.1950)
O (0.5977, 0.0977, 0.8050)
O (0.0977, 0.5977, 0.8050)

=====

[5]
This record from the Alexandria database describes crystalline RbBa3Nb2O8 at its relaxed geometry. The functional is PBE.

Summary:
Crystal system: trigonal
E_form (uncorrected), eV/f.u.: -35.1
Space-group type: No. 164
Total magnetization, μB per formula unit: 0.4

a = 6.1136 Å, b = 6.1136 Å, c = 9.6462 Å
α = 90.00°, β = 90.00°, γ = 120.00°
Sites, in units of the cell vectors:
Rb (0.0000, 0.0000, 0.5000)
Ba (0.3333, 0.6667, 0.7204)
Ba (0.6667, 0.3333, 0.2796)
Ba (0.0000, 0.0000, 0.0000)
Nb (0.3333, 0.6667, 0.1699)
Nb (0.6667, 0.3333, 0.8301)
O (0.3333, 0.6667, 0.9742)
O (0.6667, 0.3333, 0.0258)
O (0.1664, 0.8336, 0.2338)
O (0.8336, 0.1664, 0.7662)
O (0.1664, 0.3329, 0.2338)
O (0.8336, 0.6671, 0.7662)
O (0.6671, 0.8336, 0.2338)
O (0.3329, 0.1664, 0.7662)

=====

[6]
This record from the Alexandria database describes crystalline RbBaNbO4 at its relaxed geometry. The functional is PBE.

Summary:
Crystal system: monoclinic
E_form (uncorrected), eV/f.u.: -17.8
Space-group type: No. 11
Total magnetization, μB per formula unit: 0.1

a = 6.9495 Å, b = 6.5181 Å, c = 8.0932 Å
α = 90.00°, β = 93.68°, γ = 90.00°
Each line ends with the local moment (μB).
Sites, in units of the cell vectors:
Rb (0.6305, 0.7500, 0.8720)  0.00
Rb (0.3695, 0.2500, 0.1280)  0.00
Ba (0.8088, 0.7500, 0.4200)  0.00
Ba (0.1912, 0.2500, 0.5800)  0.00
Nb (0.3050, 0.7500, 0.3502)  -0.01
Nb (0.6950, 0.2500, 0.6498)  -0.01
O (0.8639, 0.4772, 0.6633)  0.02
O (0.1361, 0.9772, 0.3367)  0.02
O (0.1361, 0.5228, 0.3367)  0.02
O (0.8639, 0.0228, 0.6633)  0.02
O (0.4943, 0.7500, 0.1937)  0.01
O (0.5057, 0.2500, 0.8063)  0.01
O (0.4417, 0.7500, 0.5561)  0.06
O (0.5583, 0.2500, 0.4439)  0.06

=====

[7]
This record from the Alexandria database describes crystalline Ba2NbRe3O12 at its relaxed geometry. The functional is PBE.

Summary:
Crystal system: trigonal
E_form (uncorrected), eV/f.u.: -35.5
Space-group type: No. 166
Total magnetization, μB per formula unit: 1.7

a = 7.4541 Å, b = 7.4541 Å, c = 7.4541 Å
α = 58.92°, β = 58.92°, γ = 58.92°
Each line ends with the local moment (μB).
Sites, in units of the cell vectors:
Ba (0.6762, 0.6762, 0.6762)  0.00
Ba (0.3238, 0.3238, 0.3238)  0.00
Nb (0.0000, 0.0000, 0.0000)  0.02
Re (0.5000, 0.0000, 0.0000)  0.41
Re (0.0000, 0.5000, 0.0000)  0.41
Re (0.0000, 0.0000, 0.5000)  0.41
O (0.3049, 0.3049, 0.9368)  0.04
O (0.9243, 0.9243, 0.3288)  0.01
O (0.3288, 0.9243, 0.9243)  0.01
O (0.9368, 0.3049, 0.3049)  0.04
O (0.9243, 0.3288, 0.9243)  0.01
O (0.3049, 0.9368, 0.3049)  0.04
O (0.6951, 0.6951, 0.0632)  0.04
O (0.0757, 0.0757, 0.6712)  0.01
O (0.6712, 0.0757, 0.0757)  0.01
O (0.0632, 0.6951, 0.6951)  0.04
O (0.0757, 0.6712, 0.0757)  0.01
O (0.6951, 0.0632, 0.6951)  0.04

=====

[8]
This record from the Alexandria database describes crystalline BaNb2ReO at its relaxed geometry. The functional is PBE.

Summary:
Crystal system: tetragonal
E_form (uncorrected), eV/f.u.: 2.5
Space-group type: No. 123
Total magnetization, μB per formula unit: 0.0

a = 4.6043 Å, b = 4.2638 Å, c = 4.6043 Å
α = 90.00°, β = 90.00°, γ = 90.00°
Sites, in units of the cell vectors:
Re (0.0000, 0.5000, 0.0000)
Nb (0.0000, 0.0000, 0.5000)
Nb (0.5000, 0.0000, 0.0000)
Ba (0.5000, 0.5000, 0.5000)
O (0.0000, 0.0000, 0.0000)

=====

no.,calculated volume (A^3/atom)
1,15.5
2,17.3
3,15.9
4,15.5
5,22.3
6,26.1
7,15.9
8,18.1